Entry 1:
DFT (PBE) results for an optimized crystal structure of PrGa3Pt.

Cell: 4.2262 4.2262 10.9235 Å, 90.00 90.00 90.00°
Closest atoms and distances in Å follow each position.
Atoms (fractional coordinates):
Pr 0.0000 0.0000 0.0000  12 Ga 3.24-3.45, 4 Pt 3.45
Pr 0.5000 0.5000 0.5000  12 Ga 3.24-3.45, 4 Pt 3.45
Ga 0.0000 0.0000 0.3852  3 Ga 2.51-2.58, 2 Pt 2.58
Ga 0.0000 0.0000 0.6148  3 Ga 2.51-2.58, 2 Pt 2.58
Ga 0.0000 0.5000 0.2500  4 Ga 2.58
Ga 0.5000 0.0000 0.7500  4 Ga 2.58
Ga 0.5000 0.5000 0.1148  3 Ga 2.51-2.58, 2 Pt 2.58
Ga 0.5000 0.5000 0.8852  3 Ga 2.51-2.58, 2 Pt 2.58
Pt 0.0000 0.5000 0.7500  4 Ga 2.58
Pt 0.5000 0.0000 0.2500  4 Ga 2.58

Calculated values
spin magnetization	0.000	μB per atom
VASP energy	-47.16	eV/cell
ΔE to the lowest computed polymorph	0.35	eV per formula unit
SG	No. 119
energy of formation from the pure elements	-0.736	eV/atom

=====

Entry 2:
DFT (PBE) results for an optimized crystal structure of PrGa2Pt3.

Cell: 8.6460 8.6460 10.1339 Å, 105.98 105.98 27.54°
Closest atoms and distances in Å follow each position.
Atoms (fractional coordinates):
Pr 0.0000 0.0000 0.0000  6 Pt 3.14-3.29, 6 Ga 3.19-3.25
Pr 0.1616 0.1616 0.7039  6 Ga 3.18-3.25, 6 Pt 3.20-3.55
Pr 0.8384 0.8384 0.2961  6 Ga 3.18-3.25, 6 Pt 3.20-3.55
Ga 0.1967 0.1967 0.1242  6 Pt 2.55-2.65
Ga 0.3606 0.3606 0.5472  7 Pt 2.47-2.67
Ga 0.4643 0.4643 0.2255  5 Pt 2.49-2.69
Ga 0.5357 0.5357 0.7745  5 Pt 2.49-2.69
Ga 0.6394 0.6394 0.4528  7 Pt 2.47-2.67
Ga 0.8033 0.8033 0.8758  6 Pt 2.55-2.65
Pt 0.0433 0.0433 0.3372  4 Ga 2.53-2.67, 1 Pt 2.84
Pt 0.2185 0.2185 0.3895  4 Ga 2.47-2.63
Pt 0.3279 0.3279 0.0455  4 Ga 2.49-2.64
Pt 0.3818 0.3818 0.8051  4 Ga 2.54-2.69, 1 Pt 2.83
Pt 0.5000 0.5000 0.5000  4 Ga 2.52-2.67
Pt 0.6182 0.6182 0.1949  4 Ga 2.54-2.69, 1 Pt 2.83
Pt 0.6721 0.6721 0.9545  4 Ga 2.49-2.64
Pt 0.7815 0.7815 0.6105  4 Ga 2.47-2.63
Pt 0.9567 0.9567 0.6628  4 Ga 2.53-2.67, 1 Pt 2.84

Calculated values
spin magnetization	0.000	μB per atom
VASP energy	-103.13	eV/cell
SG	No. 12
energy of formation from the pure elements	-0.904	eV/atom

=====

Entry 3:
DFT (PBE) results for an optimized crystal structure of Pr3Ga7Pt2.

Cell: 4.3615 4.3681 13.5582 Å, 90.00 99.22 90.00°
Closest atoms and distances in Å follow each position.
Atoms (fractional coordinates):
Pr 0.0000 0.0000 0.0000  12 Ga 3.09-3.12
Pr 0.3184 0.5000 0.6390  10 Ga 3.30-3.40, 4 Pt 3.35-3.36
Pr 0.6816 0.5000 0.3610  10 Ga 3.30-3.40, 4 Pt 3.35-3.36
Ga 0.0844 0.5000 0.1666  2 Pt 2.54
Ga 0.2246 0.0000 0.4494  1 Pt 2.50, 2 Ga 2.57
Ga 0.4173 0.0000 0.8341  2 Pt 2.54
Ga 0.5000 0.5000 0.0000  4 Pr 3.09, 8 Ga 3.11-3.12
Ga 0.5827 0.0000 0.1659  2 Pt 2.54
Ga 0.7754 0.0000 0.5506  1 Pt 2.50, 2 Ga 2.57
Ga 0.9156 0.5000 0.8334  2 Pt 2.54
Pt 0.1310 0.0000 0.2628  5 Ga 2.50-2.54
Pt 0.8690 0.0000 0.7372  5 Ga 2.50-2.54

Calculated values
spin magnetization	0.000	μB per atom
VASP energy	-56.84	eV/cell
SG	No. 10
energy of formation from the pure elements	-0.769	eV/atom

=====

Entry 4:
DFT (PBE) results for an optimized crystal structure of Pr3Ga9Pt2.

Cell: 8.3779 8.3779 8.3779 Å, 150.04 105.17 82.64°
Closest atoms and distances in Å follow each position.
Atoms (fractional coordinates):
Pr 0.0000 0.0000 0.0000  12 Ga 3.24-3.30, 4 Pt 3.51
Pr 0.3218 0.3218 0.0000  10 Ga 3.12-3.21, 2 Pt 3.23
Pr 0.6782 0.6782 0.0000  10 Ga 3.12-3.21, 2 Pt 3.23
Ga 0.0404 0.6685 0.3719  1 Pt 2.57, 4 Ga 2.61-2.75
Ga 0.1485 0.8725 0.2760  4 Ga 2.69-2.79, 2 Pt 2.70
Ga 0.2966 0.6685 0.6281  1 Pt 2.57, 4 Ga 2.61-2.75
Ga 0.4035 0.1275 0.2760  4 Ga 2.69-2.79, 2 Pt 2.70
Ga 0.5000 0.0000 0.5000  4 Ga 2.79, 4 Pr 3.12
Ga 0.5965 0.8725 0.7240  4 Ga 2.69-2.79, 2 Pt 2.70
Ga 0.7034 0.3315 0.3719  1 Pt 2.57, 4 Ga 2.61-2.75
Ga 0.8515 0.1275 0.7240  4 Ga 2.69-2.79, 2 Pt 2.70
Ga 0.9596 0.3315 0.6281  1 Pt 2.57, 4 Ga 2.61-2.75
Pt 0.2713 0.5000 0.7713  6 Ga 2.57-2.70
Pt 0.7287 0.5000 0.2287  6 Ga 2.57-2.70

Calculated values
spin magnetization	0.000	μB per atom
VASP energy	-63.50	eV/cell
SG	No. 71
energy of formation from the pure elements	-0.703	eV/atom

=====

Entry 5:
DFT (PBE) results for an optimized crystal structure of Pr2Ga3Pt9.

Cell: 7.8400 7.8400 10.3649 Å, 112.21 112.21 59.86°
Closest atoms and distances in Å follow each position.
Atoms (fractional coordinates):
Pr 0.0858 0.2547 0.2494  11 Pt 3.02-3.24
Pr 0.2547 0.0858 0.7494  11 Pt 3.02-3.24
Pr 0.7453 0.9142 0.2506  11 Pt 3.02-3.24
Pr 0.9142 0.7453 0.7506  11 Pt 3.02-3.24
Ga 0.0000 0.5000 0.0000  8 Pt 2.56-2.73
Ga 0.1397 0.6817 0.5008  8 Pt 2.57-2.85
Ga 0.3183 0.8603 0.9992  8 Pt 2.57-2.85
Ga 0.5000 0.0000 0.5000  8 Pt 2.56-2.73
Ga 0.6817 0.1397 0.0008  8 Pt 2.57-2.85
Ga 0.8603 0.3183 0.4992  8 Pt 2.57-2.85
Pt 0.0327 0.8517 0.0782  3 Ga 2.60-2.70, 3 Pt 2.76-2.90
Pt 0.1483 0.9673 0.4218  3 Ga 2.60-2.70, 3 Pt 2.76-2.90
Pt 0.1993 0.3594 0.5734  3 Ga 2.62-2.68, 3 Pt 2.78-2.90
Pt 0.2098 0.5811 0.2534  2 Ga 2.56-2.57, 4 Pt 2.76-2.79
Pt 0.3144 0.4805 0.9322  3 Ga 2.73-2.85, 5 Pt 2.79-2.90
Pt 0.3594 0.1993 0.0734  3 Ga 2.62-2.68, 3 Pt 2.78-2.90
Pt 0.3682 0.6318 0.7500  2 Ga 2.57, 6 Pt 2.78-2.87
Pt 0.4189 0.7902 0.2466  2 Ga 2.56-2.57, 4 Pt 2.76-2.79
Pt 0.4805 0.3144 0.4322  3 Ga 2.73-2.85, 5 Pt 2.79-2.90
Pt 0.5195 0.6856 0.5678  3 Ga 2.73-2.85, 5 Pt 2.79-2.90
Pt 0.5811 0.2098 0.7534  2 Ga 2.56-2.57, 4 Pt 2.76-2.79
Pt 0.6318 0.3682 0.2500  2 Ga 2.57, 6 Pt 2.78-2.87
Pt 0.6406 0.8007 0.9266  3 Ga 2.62-2.68, 3 Pt 2.78-2.90
Pt 0.6856 0.5195 0.0678  3 Ga 2.73-2.85, 5 Pt 2.79-2.90
Pt 0.7902 0.4189 0.7466  2 Ga 2.56-2.57, 4 Pt 2.76-2.79
Pt 0.8007 0.6406 0.4266  3 Ga 2.62-2.68, 3 Pt 2.78-2.90
Pt 0.8517 0.0327 0.5782  3 Ga 2.60-2.70, 3 Pt 2.76-2.90
Pt 0.9673 0.1483 0.9218  3 Ga 2.60-2.70, 3 Pt 2.76-2.90

Calculated values
spin magnetization	0.000	μB per atom
VASP energy	-169.07	eV/cell
SG	No. 15
energy of formation from the pure elements	-0.823	eV/atom

=====

Entry 6:
DFT (PBE) results for an optimized crystal structure of PrGa4Pt2.

Cell: 7.8753 7.8753 4.2698 Å, 90.00 90.00 90.00°
Closest atoms and distances in Å follow each position.
Atoms (fractional coordinates):
Pr 0.0000 0.0000 0.0000  6 Pt 3.16-3.22, 12 Ga 3.45-3.52
Pr 0.5000 0.5000 0.5000  6 Pt 3.16-3.22, 12 Ga 3.45-3.52
Ga 0.0856 0.3330 0.5000  3 Pt 2.55-2.67, 1 Ga 2.76
Ga 0.1670 0.5856 0.0000  3 Pt 2.55-2.67, 1 Ga 2.76
Ga 0.3330 0.0856 0.5000  3 Pt 2.55-2.67, 1 Ga 2.76
Ga 0.4144 0.8330 0.0000  3 Pt 2.55-2.67, 1 Ga 2.76
Ga 0.5856 0.1670 0.0000  3 Pt 2.55-2.67, 1 Ga 2.76
Ga 0.6670 0.9144 0.5000  3 Pt 2.55-2.67, 1 Ga 2.76
Ga 0.8330 0.4144 0.0000  3 Pt 2.55-2.67, 1 Ga 2.76
Ga 0.9144 0.6670 0.5000  3 Pt 2.55-2.67, 1 Ga 2.76
Pt 0.2164 0.7836 0.5000  6 Ga 2.55-2.67
Pt 0.2836 0.2836 0.0000  6 Ga 2.55-2.67
Pt 0.7164 0.7164 0.0000  6 Ga 2.55-2.67
Pt 0.7836 0.2164 0.5000  6 Ga 2.55-2.67

Calculated values
spin magnetization	0.000	μB per atom
VASP energy	-67.56	eV/cell
ΔE to the lowest computed polymorph	0.92	eV per formula unit
SG	No. 136
energy of formation from the pure elements	-0.688	eV/atom

=====

Entry 7:
DFT (PBE) results for an optimized crystal structure of PrGa6Pt3.

Cell: 8.9750 4.3362 9.4877 Å, 90.00 93.02 90.00°
Closest atoms and distances in Å follow each position.
Atoms (fractional coordinates):
Pr 0.0544 0.2500 0.2971  9 Ga 3.09-3.38, 1 Pt 3.42
Pr 0.9456 0.7500 0.7029  9 Ga 3.09-3.38, 1 Pt 3.42
Ga 0.1017 0.7500 0.0347  3 Ga 2.59-2.89, 3 Pt 2.62-2.63
Ga 0.1765 0.2500 0.6207  3 Pt 2.58-2.63
Ga 0.2915 0.7500 0.2505  3 Pt 2.52-2.54, 2 Ga 2.59-2.69
Ga 0.3100 0.7500 0.7877  4 Pt 2.58-2.71, 2 Ga 2.76
Ga 0.4284 0.2500 0.4323  4 Pt 2.60-2.69, 2 Ga 2.80
Ga 0.4639 0.2500 0.9015  4 Pt 2.54-2.58, 3 Ga 2.69-2.76
Ga 0.5361 0.7500 0.0985  4 Pt 2.54-2.58, 3 Ga 2.69-2.76
Ga 0.5716 0.7500 0.5677  4 Pt 2.60-2.69, 2 Ga 2.80
Ga 0.6900 0.2500 0.2123  4 Pt 2.58-2.71, 2 Ga 2.76
Ga 0.7085 0.2500 0.7495  3 Pt 2.52-2.54, 2 Ga 2.59-2.69
Ga 0.8235 0.7500 0.3793  3 Pt 2.58-2.63
Ga 0.8983 0.2500 0.9653  3 Ga 2.59-2.89, 3 Pt 2.62-2.63
Pt 0.1775 0.2500 0.8983  7 Ga 2.57-2.71
Pt 0.2792 0.7500 0.5156  7 Ga 2.52-2.69
Pt 0.3980 0.2500 0.1582  7 Ga 2.54-2.64
Pt 0.6020 0.7500 0.8418  7 Ga 2.54-2.64
Pt 0.7208 0.2500 0.4844  7 Ga 2.52-2.69
Pt 0.8225 0.7500 0.1017  7 Ga 2.57-2.71

Calculated values
spin magnetization	0.000	μB per atom
VASP energy	-96.19	eV/cell
SG	No. 11
energy of formation from the pure elements	-0.703	eV/atom

=====

Entry 8:
DFT (PBE) results for an optimized crystal structure of PrGa4Pt2.

Cell: 17.6452 4.3718 6.6774 Å, 90.00 90.00 90.00°
Closest atoms and distances in Å follow each position.
Atoms (fractional coordinates):
Pr 0.1396 0.2500 0.0101  9 Ga 3.04-3.37, 4 Pt 3.28-3.35
Pr 0.3604 0.7500 0.5101  9 Ga 3.04-3.37, 4 Pt 3.28-3.35
Pr 0.6396 0.2500 0.4899  9 Ga 3.04-3.37, 4 Pt 3.28-3.35
Pr 0.8604 0.7500 0.9899  9 Ga 3.04-3.37, 4 Pt 3.28-3.35
Ga 0.0365 0.7500 0.8391  3 Pt 2.61-2.77, 2 Ga 2.82-2.90
Ga 0.0719 0.2500 0.4880  4 Pt 2.56-2.76
Ga 0.1833 0.7500 0.3196  4 Pt 2.64-2.65, 1 Ga 2.70
Ga 0.1900 0.7500 0.7240  3 Pt 2.60, 2 Ga 2.70-2.82
Ga 0.3100 0.2500 0.2240  3 Pt 2.60, 2 Ga 2.70-2.82
Ga 0.3167 0.2500 0.8196  4 Pt 2.64-2.65, 1 Ga 2.70
Ga 0.4281 0.7500 0.9880  4 Pt 2.56-2.76
Ga 0.4635 0.2500 0.3391  3 Pt 2.61-2.77, 2 Ga 2.82-2.90
Ga 0.5365 0.7500 0.6609  3 Pt 2.61-2.77, 2 Ga 2.82-2.90
Ga 0.5719 0.2500 0.0120  4 Pt 2.56-2.76
Ga 0.6833 0.7500 0.1804  4 Pt 2.64-2.65, 1 Ga 2.70
Ga 0.6900 0.7500 0.7760  3 Pt 2.60, 2 Ga 2.70-2.82
Ga 0.8100 0.2500 0.2760  3 Pt 2.60, 2 Ga 2.70-2.82
Ga 0.8167 0.2500 0.6804  4 Pt 2.64-2.65, 1 Ga 2.70
Ga 0.9281 0.7500 0.5120  4 Pt 2.56-2.76
Ga 0.9635 0.2500 0.1609  3 Pt 2.61-2.77, 2 Ga 2.82-2.90
Pt 0.0357 0.7500 0.2540  7 Ga 2.56-2.77
Pt 0.2167 0.2500 0.5250  7 Ga 2.57-2.65
Pt 0.2833 0.7500 0.0250  7 Ga 2.57-2.65
Pt 0.4643 0.2500 0.7540  7 Ga 2.56-2.77
Pt 0.5357 0.7500 0.2460  7 Ga 2.56-2.77
Pt 0.7167 0.2500 0.9750  7 Ga 2.57-2.65
Pt 0.7833 0.7500 0.4750  7 Ga 2.57-2.65
Pt 0.9643 0.2500 0.7460  7 Ga 2.56-2.77

Calculated values
spin magnetization	0.000	μB per atom
VASP energy	-138.81	eV/cell
ΔE to the lowest computed polymorph	0.00	eV per formula unit
SG	No. 62
energy of formation from the pure elements	-0.819	eV/atom

=====

Entry 9:
DFT (PBE) results for an optimized crystal structure of PrGa3Pt.

Cell: 4.3661 4.3661 10.5544 Å, 90.00 90.00 90.00°
Closest atoms and distances in Å follow each position.
Atoms (fractional coordinates):
Pr 0.0000 0.0000 0.0000  12 Ga 3.23-3.52, 4 Pt 3.44
Pr 0.5000 0.5000 0.5000  12 Ga 3.23-3.52, 4 Pt 3.44
Ga 0.0000 0.0000 0.5885  1 Pt 2.46, 4 Ga 2.70
Ga 0.0000 0.5000 0.2388  2 Pt 2.51, 2 Ga 2.70
Ga 0.0000 0.5000 0.7388  2 Pt 2.51, 2 Ga 2.70
Ga 0.5000 0.0000 0.2388  2 Pt 2.51, 2 Ga 2.70
Ga 0.5000 0.0000 0.7388  2 Pt 2.51, 2 Ga 2.70
Ga 0.5000 0.5000 0.0885  1 Pt 2.46, 4 Ga 2.70
Pt 0.0000 0.0000 0.3558  5 Ga 2.46-2.51
Pt 0.5000 0.5000 0.8558  5 Ga 2.46-2.51

Calculated values
spin magnetization	0.000	μB per atom
VASP energy	-47.86	eV/cell
ΔE to the lowest computed polymorph	0.00	eV per formula unit
SG	No. 107
energy of formation from the pure elements	-0.806	eV/atom

=====

Entry 10:
DFT (PBE) results for an optimized crystal structure of Pr8GaPt2.

Cell: 8.0784 8.0784 5.9351 Å, 97.59 97.59 114.02°
Closest atoms and distances in Å follow each position.
Atoms (fractional coordinates):
Pr 0.0000 0.0000 0.0000  2 Pt 3.18, 1 Ga 3.19
Pr 0.0552 0.3070 0.6026  2 Pt 2.94-3.03
Pr 0.1504 0.6218 0.1986  2 Pt 3.10-3.17, 1 Ga 3.25
Pr 0.3070 0.0552 0.6026  2 Pt 2.94-3.03
Pr 0.4598 0.7172 0.8129  2 Pt 2.96-3.04, 1 Ga 3.32
Pr 0.6218 0.1504 0.1986  2 Pt 3.10-3.17, 1 Ga 3.25
Pr 0.7172 0.4598 0.8129  2 Pt 2.96-3.04, 1 Ga 3.32
Pr 0.7431 0.7431 0.3813  2 Pt 3.23, 1 Ga 3.28, 1 Pr 3.57
Ga 0.3733 0.3733 0.0971  8 Pr 3.19-3.46
Pt 0.0722 0.6923 0.6916  8 Pr 2.94-3.23
Pt 0.6923 0.0722 0.6916  8 Pr 2.94-3.23

Calculated values
spin magnetization	0.000	μB per atom
VASP energy	-57.83	eV/cell
SG	No. 8
energy of formation from the pure elements	-0.407	eV/atom

=====

Entry 11:
DFT (PBE) results for an optimized crystal structure of Pr3GaPt3.

Cell: 5.9463 5.9463 15.0912 Å, 108.36 108.36 41.37°
Closest atoms and distances in Å follow each position.
Atoms (fractional coordinates):
Pr 0.0236 0.0236 0.3848  6 Pt 3.10-3.15, 4 Ga 3.10-3.45
Pr 0.1044 0.1044 0.9242  7 Pt 3.04-3.29
Pr 0.2400 0.2400 0.2285  6 Pt 3.05-3.21, 2 Ga 3.35
Pr 0.7600 0.7600 0.7715  6 Pt 3.05-3.21, 2 Ga 3.35
Pr 0.8956 0.8956 0.0758  7 Pt 3.04-3.29
Pr 0.9764 0.9764 0.6152  6 Pt 3.10-3.15, 4 Ga 3.10-3.45
Ga 0.2656 0.2656 0.6000  4 Pt 2.52-2.76
Ga 0.7344 0.7344 0.4000  4 Pt 2.52-2.76
Pt 0.3632 0.3632 0.4541  3 Ga 2.52-2.76
Pt 0.3766 0.3766 0.9229  2 Pt 2.92-2.94, 5 Pr 3.04-3.07
Pt 0.4714 0.4714 0.7648  1 Ga 2.76, 1 Pt 2.92
Pt 0.5286 0.5286 0.2352  1 Ga 2.76, 1 Pt 2.92
Pt 0.6234 0.6234 0.0771  2 Pt 2.92-2.94, 5 Pr 3.04-3.07
Pt 0.6368 0.6368 0.5459  3 Ga 2.52-2.76

Calculated values
spin magnetization	0.000	μB per atom
VASP energy	-85.44	eV/cell
SG	No. 12
energy of formation from the pure elements	-1.033	eV/atom

=====

Entry 12:
DFT (PBE) results for an optimized crystal structure of Pr2Ga3Pt6.

Cell: 7.4965 7.4965 4.3683 Å, 90.00 90.00 120.00°
Closest atoms and distances in Å follow each position.
Atoms (fractional coordinates):
Pr 0.3333 0.6667 0.0000  3 Pt 3.05, 6 Ga 3.19
Pr 0.6667 0.3333 0.0000  3 Pt 3.05, 6 Ga 3.19
Ga 0.0000 0.6154 0.5000  5 Pt 2.48-2.59
Ga 0.3846 0.3846 0.5000  5 Pt 2.48-2.59
Ga 0.6154 0.0000 0.5000  5 Pt 2.48-2.59
Pt 0.0000 0.2840 0.5000  3 Ga 2.48-2.59
Pt 0.0000 0.7858 0.0000  2 Ga 2.53, 2 Pt 2.78
Pt 0.2142 0.2142 0.0000  2 Ga 2.53, 2 Pt 2.78
Pt 0.2840 0.0000 0.5000  3 Ga 2.48-2.59
Pt 0.7160 0.7160 0.5000  3 Ga 2.48-2.59
Pt 0.7858 0.0000 0.0000  2 Ga 2.53, 2 Pt 2.78

Calculated values
spin magnetization	0.000	μB per atom
VASP energy	-63.99	eV/cell
SG	No. 189
energy of formation from the pure elements	-0.827	eV/atom